Entry 1:
This record from Alexandria via LeMat-Bulk describes crystalline Ta2FeCl at its relaxed geometry. The functional is GGA-PBE.

Properties
The calculation puts the total moment at 1.434 μB/f.u. For the formation energy without anion corrections, the calculation gives 0.6032 eV per atom. The calculation puts the energy above the most stable polymorph in this dataset at 0.607 eV/atom.

Cell lengths 3.063, 4.222, 5.036 Å; angles 90.00, 90.00, 90.00 degrees
Space group Pmmm (No. 47)
Asymmetric unit:
Ta 0.000 0.000 0.000 [1 per cell]
Ta 0.500 0.000 0.500 [1 per cell]
Fe 0.000 0.500 0.500 [1 per cell]
Cl 0.500 0.500 0.000 [1 per cell]

=====

Entry 2:
This record from Alexandria via LeMat-Bulk describes crystalline Ta2FeCl at its relaxed geometry. The functional is GGA-PBE.

Properties
The calculation puts the total moment at 0.000 μB/f.u. For the formation energy without anion corrections, the calculation gives 0.7072 eV per atom. The calculation puts the energy above the most stable polymorph in this dataset at 0.711 eV/atom.

Cell lengths 3.579, 3.579, 9.785 Å; angles 90.00, 90.00, 90.00 degrees
Space group I-4m2 (No. 119)
Asymmetric unit:
Ta 0.000 0.000 0.000 [2 per cell]
Ta 0.000 0.500 0.250 [2 per cell]
Fe 0.000 0.000 0.500 [2 per cell]
Cl 0.000 0.500 0.750 [2 per cell]

=====

Entry 3:
This record from Alexandria via LeMat-Bulk describes crystalline TaFeCl3 at its relaxed geometry. The functional is GGA-PBE.

Properties
The calculation puts the total moment at 0.000 μB/f.u. For the formation energy without anion corrections, the calculation gives 0.8629 eV per atom. The calculation puts the energy above the most stable polymorph in this dataset at 0.598 eV/atom.

Cell lengths 4.471, 4.471, 4.471 Å; angles 90.00, 90.00, 90.00 degrees
Space group Pm-3m (No. 221)
Asymmetric unit:
Ta 0.000 0.000 0.000 [1 per cell]
Fe 0.500 0.500 0.500 [1 per cell]
Cl 0.000 0.500 0.500 [3 per cell]

=====

Entry 4:
This record from Alexandria via LeMat-Bulk describes crystalline TaFeCl2 at its relaxed geometry. The functional is GGA-PBE.

Properties
The calculation puts the total moment at 2.933 μB/f.u. For the formation energy without anion corrections, the calculation gives 0.0513 eV per atom. The calculation puts the energy above the most stable polymorph in this dataset at 0.529 eV/atom.

Cell lengths 3.0256, 3.0256, 31.1152 Å; angles 90.00, 90.00, 120.00 degrees
Space group R-3m (No. 166, hexagonal axes)
Asymmetric unit:
Ta 0.0000 0.0000 0.0000 [3 per cell]
Fe 0.0000 0.0000 0.5000 [3 per cell]
Cl 0.0000 0.0000 0.2742 [6 per cell]

=====

Entry 5:
This record from Alexandria via LeMat-Bulk describes crystalline TaFe2Cl at its relaxed geometry. The functional is GGA-PBE.

Properties
The calculation puts the total moment at 4.053 μB/f.u. For the formation energy without anion corrections, the calculation gives 0.6370 eV per atom. The calculation puts the energy above the most stable polymorph in this dataset at 0.616 eV/atom.

Cell lengths 4.252, 4.252, 6.331 Å; angles 90.00, 90.00, 90.00 degrees
Space group I-4m2 (No. 119)
Asymmetric unit:
Ta 0.000 0.000 0.000 [2 per cell]
Fe 0.000 0.000 0.500 [2 per cell]
Fe 0.000 0.500 0.250 [2 per cell]
Cl 0.000 0.500 0.750 [2 per cell]

=====

Entry 6:
This record from Alexandria via LeMat-Bulk describes crystalline TaFe2Cl at its relaxed geometry. The functional is GGA-PBE.

Properties
The calculation puts the total moment at 4.233 μB/f.u. For the formation energy without anion corrections, the calculation gives 0.2936 eV per atom. The calculation puts the energy above the most stable polymorph in this dataset at 0.273 eV/atom.

Cell lengths 3.015, 3.015, 6.956 Å; angles 90.00, 90.00, 90.00 degrees
Space group P4/mmm (No. 123)
Asymmetric unit:
Ta 0.000 0.000 0.000 [1 per cell]
Fe 0.500 0.500 0.230 [2 per cell]
Cl 0.000 0.000 0.500 [1 per cell]

=====

Entry 7:
This record from Alexandria via LeMat-Bulk describes crystalline TaFeCl at its relaxed geometry. The functional is GGA-PBE.

Properties
The calculation puts the total moment at 0.001 μB/f.u. For the formation energy without anion corrections, the calculation gives 0.8350 eV per atom. The calculation puts the energy above the most stable polymorph in this dataset at 0.819 eV/atom.

Cell lengths 5.863, 5.863, 5.863 Å; angles 90.00, 90.00, 90.00 degrees
Space group F-43m (No. 216)
Asymmetric unit:
Ta 0.000 0.000 0.000 [4 per cell]
Fe 0.250 0.250 0.750 [4 per cell]
Cl 0.000 0.000 0.500 [4 per cell]

=====

Entry 8:
This record from Alexandria via LeMat-Bulk describes crystalline TaFeCl2 at its relaxed geometry. The functional is GGA-PBE.

Properties
The calculation puts the total moment at 2.321 μB/f.u. For the formation energy without anion corrections, the calculation gives 0.5903 eV per atom. The calculation puts the energy above the most stable polymorph in this dataset at 1.068 eV/atom.

Cell lengths 4.054, 4.054, 7.602 Å; angles 90.00, 90.00, 90.00 degrees
Space group I4/mmm (No. 139)
Asymmetric unit:
Ta 0.000 0.000 0.000 [2 per cell]
Fe 0.000 0.000 0.500 [2 per cell]
Cl 0.000 0.500 0.250 [4 per cell]

=====

Entry 9:
This record from Alexandria via LeMat-Bulk describes crystalline TaFe2Cl at its relaxed geometry. The functional is GGA-PBE.

Properties
The calculation puts the total moment at 2.453 μB/f.u. For the formation energy without anion corrections, the calculation gives 0.1503 eV per atom. The calculation puts the energy above the most stable polymorph in this dataset at 0.129 eV/atom.

Cell lengths 3.100, 3.224, 6.458 Å; angles 90.00, 90.00, 90.00 degrees
Space group Pmmm (No. 47)
Asymmetric unit:
Ta 0.000 0.000 0.000 [1 per cell]
Fe 0.500 0.500 0.198 [2 per cell]
Cl 0.000 0.500 0.500 [1 per cell]

=====

Entry 10:
This record from Alexandria via LeMat-Bulk describes crystalline TaFeCl3 at its relaxed geometry. The functional is GGA-PBE.

Properties
The calculation puts the total moment at 4.120 μB/f.u. For the formation energy without anion corrections, the calculation gives 0.2646 eV per atom. The calculation puts the energy above the most stable polymorph in this dataset at 0.000 eV/atom.

Cell lengths 4.889, 4.889, 4.889 Å; angles 90.00, 90.00, 90.00 degrees
Space group Pm-3m (No. 221)
Asymmetric unit:
Ta 0.000 0.000 0.000 [1 per cell]
Fe 0.500 0.500 0.500 [1 per cell]
Cl 0.000 0.000 0.500 [3 per cell]

=====

Entry 11:
This record from Alexandria via LeMat-Bulk describes crystalline Ta2FeCl at its relaxed geometry. The functional is GGA-PBE.

Properties
The calculation puts the total moment at 0.001 μB/f.u. For the formation energy without anion corrections, the calculation gives 0.5563 eV per atom. The calculation puts the energy above the most stable polymorph in this dataset at 0.561 eV/atom.

Cell lengths 6.261, 6.261, 6.261 Å; angles 90.00, 90.00, 90.00 degrees
Space group Fm-3m (No. 225)
Asymmetric unit:
Ta 0.250 0.250 0.250 [8 per cell]
Fe 0.000 0.000 0.000 [4 per cell]
Cl 0.000 0.000 0.500 [4 per cell]

=====

Entry 12:
This record from Alexandria via LeMat-Bulk describes crystalline Ta2FeCl at its relaxed geometry. The functional is GGA-PBE.

Properties
The calculation puts the total moment at 0.048 μB/f.u. For the formation energy without anion corrections, the calculation gives 0.0686 eV per atom. The calculation puts the energy above the most stable polymorph in this dataset at 0.073 eV/atom.

Cell lengths 3.0728, 3.0728, 26.4833 Å; angles 90.00, 90.00, 120.00 degrees
Space group R3m (No. 160, hexagonal axes)
Asymmetric unit:
Ta 0.0000 0.0000 0.0000 [3 per cell]
Ta 0.0000 0.0000 0.2403 [3 per cell]
Fe 0.0000 0.0000 0.7283 [3 per cell]
Cl 0.0000 0.0000 0.5059 [3 per cell]

=====

Entry 13:
This record from Alexandria via LeMat-Bulk describes crystalline TaFe2Cl at its relaxed geometry. The functional is GGA-PBE.

Properties
The calculation puts the total moment at 4.733 μB/f.u. For the formation energy without anion corrections, the calculation gives 0.0208 eV per atom. The calculation puts the energy above the most stable polymorph in this dataset at 0.000 eV/atom.

Cell lengths 2.981, 3.079, 7.216 Å; angles 90.00, 90.00, 90.00 degrees
Space group Pmm2 (No. 25)
Asymmetric unit:
Ta 0.000 0.000 0.000 [1 per cell]
Fe 0.000 0.000 0.618 [1 per cell]
Fe 0.500 0.500 0.797 [1 per cell]
Cl 0.500 0.000 0.285 [1 per cell]

=====

Entry 14:
This record from Alexandria via LeMat-Bulk describes crystalline TaFeCl2 at its relaxed geometry. The functional is GGA-PBE.

Properties
The calculation puts the total moment at 3.306 μB/f.u. For the formation energy without anion corrections, the calculation gives 0.0349 eV per atom. The calculation puts the energy above the most stable polymorph in this dataset at 0.513 eV/atom.

Cell lengths 3.0379, 3.0379, 28.8135 Å; angles 90.00, 90.00, 120.00 degrees
Space group R-3m (No. 166, hexagonal axes)
Asymmetric unit:
Ta 0.0000 0.0000 0.0000 [3 per cell]
Fe 0.0000 0.0000 0.5000 [3 per cell]
Cl 0.0000 0.0000 0.3972 [6 per cell]